This record from the Alexandria database describes an optimized crystal structure of Tb3Pr3DyS8. The functional is GGA-PBE.

Calculated values
**Crystal system**: trigonal
**Mass density**: 6.03 g cm⁻³
**Raw total energy**: -0.4736 Ry per atom
**Formation energy from raw total energies**: -2.054 eV per atom

Unit cell a=7.9606 b=7.9607 c=8.0555 alpha=119.61 beta=90.00 gamma=120.00
Positions (direct):
Tb (0.0000, 0.5000, 0.5000)
Tb (0.5000, 0.5000, 0.5000)
Tb (0.5000, 0.0000, 0.5000)
S (0.2453, 0.4905, 0.7349)
S (0.7547, 0.0104, 0.2651)
S (0.2453, 0.9896, 0.7349)
S (0.2556, 0.0104, 0.2651)
S (0.7447, 0.4894, 0.7341)
S (0.7547, 0.5095, 0.2651)
S (0.2553, 0.5106, 0.2659)
S (0.7444, 0.9896, 0.7349)
Pr (0.5000, 0.5000, 0.0000)
Pr (0.0000, 0.0000, 0.0000)
Pr (0.0000, 0.5000, 0.0000)
Dy (0.0000, 0.0000, 0.5000)